Record 1
Compound: NaNdTiNbO6F
Source: Alexandria
Functional: GGA-PBE
Structure: optimized geometry

a b c (Å): 7.382 7.382 10.472
angles (deg): 90.00 90.00 90.00
Fractional positions:
1 Na 0.500 0.719 0.000
2 Na 0.500 0.281 0.500
3 Na 0.719 0.500 0.750
4 Na 0.281 0.500 0.250
5 Nd 0.000 0.725 0.000
6 Nd 0.275 0.000 0.250
7 Nd 0.725 0.000 0.750
8 Nd 0.000 0.275 0.500
9 Ti 0.765 0.000 0.250
10 Ti 0.000 0.235 0.000
11 Ti 0.235 0.000 0.750
12 Ti 0.000 0.765 0.500
13 Nb 0.500 0.759 0.500
14 Nb 0.241 0.500 0.750
15 Nb 0.500 0.241 0.000
16 Nb 0.759 0.500 0.250
17 O 0.557 0.947 0.367
18 O 0.751 0.774 0.572
19 O 0.958 0.958 0.375
20 O 0.042 0.042 0.875
21 O 0.053 0.443 0.883
22 O 0.042 0.958 0.625
23 O 0.226 0.249 0.678
24 O 0.226 0.751 0.822
25 O 0.249 0.226 0.072
26 O 0.443 0.053 0.867
27 O 0.438 0.438 0.875
28 O 0.443 0.947 0.633
29 O 0.562 0.438 0.125
30 O 0.562 0.562 0.375
31 O 0.557 0.053 0.133
32 O 0.774 0.751 0.178
33 O 0.751 0.226 0.928
34 O 0.774 0.249 0.322
35 O 0.947 0.557 0.383
36 O 0.958 0.042 0.125
37 O 0.947 0.443 0.117
38 O 0.053 0.557 0.617
39 O 0.249 0.774 0.428
40 O 0.438 0.562 0.625
41 F 0.741 0.259 0.625
42 F 0.259 0.741 0.125
43 F 0.259 0.259 0.375
44 F 0.741 0.741 0.875

Uncorrected formation energy ... -2.95 eV per atom
ΔE to the lowest computed polymorph ... 0.00 kcal/mol of atoms

***

Record 2
Compound: K2RbBr
Source: Alexandria
Functional: GGA-PBE
Structure: optimized geometry

a b c (Å): 4.783 4.783 12.479
angles (deg): 78.95 78.95 60.00
Fractional positions:
1 K 0.053 0.053 0.840
2 K 0.280 0.280 0.161
3 Rb 0.500 0.500 0.499
4 Br 0.666 0.666 0.001

Uncorrected formation energy ... -0.82 eV per atom
ΔE to the lowest computed polymorph ... 0.00 kcal/mol of atoms